Material: CsPdCl
Method: DFT, PBE
State: optimized geometry

Cell: 9.9601 4.4603 7.8193 Å, 90.00 90.00 90.00°
Last column: nearest neighbours and their distance in Å.
Positions (direct):
Cs 0.0000 0.2500 0.7500  6 Pd 3.57-3.64, 6 Cl 3.58-3.62
Cs 0.5000 0.7500 0.2500  6 Pd 3.57-3.64, 6 Cl 3.58-3.62
Cs 0.0000 0.7500 0.2500  6 Pd 3.57-3.64, 6 Cl 3.58-3.62
Cs 0.5000 0.2500 0.7500  6 Pd 3.57-3.64, 6 Cl 3.58-3.62
Pd 0.2500 0.2500 0.4100  3 Cl 2.54-2.62
Pd 0.2500 0.7500 0.9100  3 Cl 2.54-2.62
Pd 0.7500 0.7500 0.5900  3 Cl 2.54-2.62
Pd 0.7500 0.2500 0.0900  3 Cl 2.54-2.62
Cl 0.7500 0.2500 0.4144  3 Pd 2.54-2.62
Cl 0.7500 0.7500 0.9144  3 Pd 2.54-2.62
Cl 0.2500 0.7500 0.5856  3 Pd 2.54-2.62
Cl 0.2500 0.2500 0.0856  3 Pd 2.54-2.62

Computed properties:
The calculation puts the raw formation energy at -646 meV per atom. The value obtained for the energy relative to the lowest polymorph listed for this composition is 4.521 kcal/mol of atoms. Its crystal system is orthorhombic. As for the space-group type: Cmcm (63). Its total DFT energy (no corrections) is -3.277 eV per atom. The calculation puts the density of states at the Fermi level at 0.0 states/eV/cell. Its spin magnetization is 0.000 μB per formula unit.

Material: La3TbEr2S6
Method: DFT, PBE
State: optimized geometry

Cell: 6.9017 6.9017 7.0712 Å, 99.37 99.37 120.12°
Last column: nearest neighbours and their distance in Å.
Positions (direct):
La 0.1654 0.8346 0.5000  6 S 2.92-2.94
La 0.8346 0.1654 0.5000  6 S 2.92-2.94
La 0.5000 0.5000 0.5000  6 S 2.92-2.94
Tb 0.0000 0.0000 0.0000  6 S 2.77-2.78
Er 0.3333 0.6667 0.0000  6 S 2.74-2.75
Er 0.6667 0.3333 0.0000  6 S 2.74-2.75
S 0.9242 0.5873 0.7722  2 Er 2.75, 1 Tb 2.78, 3 La 2.92-2.94
S 0.7385 0.7385 0.2267  2 Er 2.74, 1 Tb 2.77, 3 La 2.92-2.94
S 0.0758 0.4127 0.2278  2 Er 2.75, 1 Tb 2.78, 3 La 2.92-2.94
S 0.5873 0.9242 0.7722  2 Er 2.75, 1 Tb 2.78, 3 La 2.92-2.94
S 0.2615 0.2615 0.7733  2 Er 2.74, 1 Tb 2.77, 3 La 2.92-2.94
S 0.4127 0.0758 0.2278  2 Er 2.75, 1 Tb 2.78, 3 La 2.92-2.94

Computed properties:
The calculation puts the raw formation energy at -2080 meV per atom. Its crystal system is monoclinic. As for the space-group type: C2/m (12). Its total DFT energy (no corrections) is -6.522 eV per atom. The calculation puts the density of states at the Fermi level at 5.9 states/eV/cell. Its spin magnetization is 0.000 μB per formula unit.

Material: KSrN2
Method: DFT, PBE
State: optimized geometry

Cell: 7.6771 7.6771 7.6771 Å, 33.26 33.26 33.26°
Last column: nearest neighbours and their distance in Å.
Positions (direct):
Sr 0.0000 0.0000 0.0000  2 N 2.06
K 0.5000 0.5000 0.5000  6 N 2.98
N 0.9052 0.9052 0.9052  1 Sr 2.06
N 0.0948 0.0948 0.0948  1 Sr 2.06

Computed properties:
The calculation puts the raw formation energy at 1381 meV per atom. The value obtained for the energy relative to the lowest polymorph listed for this composition is 15.531 kcal/mol of atoms. Its crystal system is trigonal. As for the space-group type: R-3m (166). Its total DFT energy (no corrections) is -3.476 eV per atom. The calculation puts the density of states at the Fermi level at 0.0 states/eV/cell. Its spin magnetization is 1.000 μB per formula unit.

Material: PuIn6Hg12
Method: DFT, PBE
State: optimized geometry

Cell: 7.9786 7.9786 7.9786 Å, 91.57 91.57 91.57°
Last column: nearest neighbours and their distance in Å.
Positions (direct):
Pu 0.0000 0.0000 0.0000  6 Hg 3.21, 6 In 3.29
In 0.8575 0.7340 0.2746  6 Hg 3.06-3.39, 1 Pu 3.29
In 0.7254 0.1425 0.2660  6 Hg 3.06-3.39, 1 Pu 3.29
In 0.2660 0.7254 0.1425  6 Hg 3.06-3.39, 1 Pu 3.29
In 0.1425 0.2660 0.7254  6 Hg 3.06-3.39, 1 Pu 3.29
In 0.2746 0.8575 0.7340  6 Hg 3.06-3.39, 1 Pu 3.29
In 0.7340 0.2746 0.8575  6 Hg 3.06-3.39, 1 Pu 3.29
Hg 0.8033 0.4542 0.5230  3 In 3.06-3.22, 4 Hg 3.09-3.28
Hg 0.5230 0.8033 0.4542  3 In 3.06-3.22, 4 Hg 3.09-3.28
Hg 0.4542 0.5230 0.8033  3 In 3.06-3.22, 4 Hg 3.09-3.28
Hg 0.1967 0.5458 0.4770  3 In 3.06-3.22, 4 Hg 3.09-3.28
Hg 0.4770 0.1967 0.5458  3 In 3.06-3.22, 4 Hg 3.09-3.28
Hg 0.5458 0.4770 0.1967  3 In 3.06-3.22, 4 Hg 3.09-3.28
Hg 0.1529 0.0434 0.3761  4 Hg 3.09-3.36, 1 Pu 3.21, 4 In 3.27-3.43
Hg 0.9566 0.6239 0.8471  4 Hg 3.09-3.36, 1 Pu 3.21, 4 In 3.27-3.43
Hg 0.6239 0.8471 0.9566  4 Hg 3.09-3.36, 1 Pu 3.21, 4 In 3.27-3.43
Hg 0.8471 0.9566 0.6239  4 Hg 3.09-3.36, 1 Pu 3.21, 4 In 3.27-3.43
Hg 0.0434 0.3761 0.1529  4 Hg 3.09-3.36, 1 Pu 3.21, 4 In 3.27-3.43
Hg 0.3761 0.1529 0.0434  4 Hg 3.09-3.36, 1 Pu 3.21, 4 In 3.27-3.43

Computed properties:
The value obtained for the energy relative to the lowest polymorph listed for this composition is 0.206 kcal/mol of atoms. Its crystal system is trigonal. As for the space-group type: R-3 (148). The value obtained for the formation enthalpy at 0 K is -3 meV/atom. Its total DFT energy (no corrections) is -1.813 eV per atom. The calculation puts the density of states at the Fermi level at 16.5 states/eV/cell. Its spin magnetization is 5.948 μB per formula unit.

Material: Sm2Sn2Pt15
Method: DFT, PBE
State: optimized geometry

Cell: 7.0638 7.0638 7.0638 Å, 83.74 83.74 83.74°
Last column: nearest neighbours and their distance in Å.
Positions (direct):
Sm 0.3558 0.3558 0.3558  12 Pt 3.17-3.32, 1 Sn 3.39
Sm 0.6442 0.6442 0.6442  12 Pt 3.17-3.32, 1 Sn 3.39
Sn 0.1044 0.1044 0.1044  1 Sn 2.82, 6 Pt 2.85-2.91
Sn 0.8956 0.8956 0.8956  1 Sn 2.82, 6 Pt 2.85-2.91
Pt 0.5000 0.0000 0.0000  8 Pt 2.74-2.75, 2 Sn 2.85
Pt 0.0000 0.0000 0.5000  8 Pt 2.74-2.75, 2 Sn 2.85
Pt 0.0000 0.5000 0.0000  8 Pt 2.74-2.75, 2 Sn 2.85
Pt 0.0000 0.6692 0.3308  6 Pt 2.74-2.76
Pt 0.6692 0.3308 0.0000  6 Pt 2.74-2.76
Pt 0.3308 0.0000 0.6692  6 Pt 2.74-2.76
Pt 0.3308 0.6692 0.0000  6 Pt 2.74-2.76
Pt 0.6692 0.0000 0.3308  6 Pt 2.74-2.76
Pt 0.0000 0.3308 0.6692  6 Pt 2.74-2.76
Pt 0.1714 0.6617 0.6617  8 Pt 2.67-2.76, 1 Sn 2.91
Pt 0.6617 0.6617 0.1714  8 Pt 2.67-2.76, 1 Sn 2.91
Pt 0.6617 0.1714 0.6617  8 Pt 2.67-2.76, 1 Sn 2.91
Pt 0.8286 0.3383 0.3383  8 Pt 2.67-2.76, 1 Sn 2.91
Pt 0.3383 0.3383 0.8286  8 Pt 2.67-2.76, 1 Sn 2.91
Pt 0.3383 0.8286 0.3383  8 Pt 2.67-2.76, 1 Sn 2.91

Computed properties:
Its crystal system is trigonal. As for the space-group type: R-3m (166). The value obtained for the formation enthalpy at 0 K is -499 meV/atom. Its total DFT energy (no corrections) is -6.186 eV per atom. The calculation puts the density of states at the Fermi level at 15.8 states/eV/cell. Its spin magnetization is 0.000 μB per formula unit.

Material: TaAlTeN2
Method: DFT, PBE
State: optimized geometry

Cell: 4.0484 5.1173 4.0484 Å, 90.00 90.00 90.00°
Last column: nearest neighbours and their distance in Å.
Positions (direct):
N 0.0000 0.0000 0.5000  2 Te 2.02
N 0.5000 0.0000 0.0000  2 Te 2.02
Te 0.0000 0.0000 0.0000  4 N 2.02
Al 0.0000 0.5000 0.0000  2 Te 2.56, 4 Ta 2.86
Ta 0.5000 0.5000 0.5000  4 Al 2.86

Computed properties:
The calculation puts the raw formation energy at 1899 meV per atom. The value obtained for the energy relative to the lowest polymorph listed for this composition is 38.562 kcal/mol of atoms. Its crystal system is tetragonal. As for the space-group type: P4/mmm (123). Its total DFT energy (no corrections) is -5.179 eV per atom. The calculation puts the density of states at the Fermi level at 4.0 states/eV/cell. Its spin magnetization is 0.000 μB per formula unit.

Material: AcCe2OsN4
Method: DFT, PBE
State: optimized geometry

Cell: 3.4957 6.3733 11.9133 Å, 90.00 90.00 105.92°
Last column: nearest neighbours and their distance in Å.
Positions (direct):
Ac 0.1031 0.2062 0.7500  6 N 2.65-2.84
Ac 0.8969 0.7938 0.2500  6 N 2.65-2.84
Ce 0.3680 0.7360 0.5486  6 N 2.37-2.56
Ce 0.6320 0.2640 0.0486  6 N 2.37-2.56
Ce 0.6320 0.2640 0.4514  6 N 2.37-2.56
Ce 0.3680 0.7360 0.9514  6 N 2.37-2.56
Os 0.8442 0.6883 0.7500  4 N 2.04-2.11
Os 0.1558 0.3117 0.2500  4 N 2.04-2.11
N 0.2650 0.5300 0.1202  1 Os 2.04
N 0.7350 0.4700 0.6202  1 Os 2.04
N 0.7350 0.4700 0.8798  1 Os 2.04
N 0.2650 0.5300 0.3798  1 Os 2.04
N 0.0000 0.0000 0.5000  4 Ce 2.45
N 0.0000 0.0000 0.0000  4 Ce 2.45
N 0.4408 0.8815 0.7500  2 Os 2.11
N 0.5592 0.1185 0.2500  2 Os 2.11

Computed properties:
The calculation puts the raw formation energy at -958 meV per atom. Its crystal system is orthorhombic. As for the space-group type: Cmcm (63). Its total DFT energy (no corrections) is -8.521 eV per atom. The calculation puts the density of states at the Fermi level at 8.3 states/eV/cell. Its spin magnetization is 0.000 μB per formula unit.

Material: VPbCl3
Method: DFT, PBE
State: optimized geometry

Cell: 5.6113 5.6113 5.6113 Å, 90.00 90.00 90.00°
Last column: nearest neighbours and their distance in Å.
Positions (direct):
Pb 0.0000 0.0000 0.0000  6 Cl 2.81
V 0.5000 0.5000 0.5000  12 Cl 3.97
Cl 0.0000 0.5000 0.0000  2 Pb 2.81
Cl 0.0000 0.0000 0.5000  2 Pb 2.81
Cl 0.5000 0.0000 0.0000  2 Pb 2.81

Computed properties:
The calculation puts the raw formation energy at -90 meV per atom. The value obtained for the energy relative to the lowest polymorph listed for this composition is 13.628 kcal/mol of atoms. Its crystal system is cubic. As for the space-group type: Pm-3m (221). Its total DFT energy (no corrections) is -3.763 eV per atom. The calculation puts the density of states at the Fermi level at 11.8 states/eV/cell. Its spin magnetization is 4.000 μB per formula unit.

Material: GdTmAgRu
Method: DFT, PBE
State: optimized geometry

Cell: 4.9519 4.9519 4.9519 Å, 60.00 60.00 60.00°
Last column: nearest neighbours and their distance in Å.
Positions (direct):
Gd 0.5000 0.5000 0.5000  4 Ru 3.03, 4 Ag 3.03
Ru 0.7500 0.7500 0.7500  4 Tm 3.03, 4 Gd 3.03
Tm 0.0000 0.0000 0.0000  4 Ag 3.03, 4 Ru 3.03
Ag 0.2500 0.2500 0.2500  4 Gd 3.03, 4 Tm 3.03

Computed properties:
Its crystal system is cubic. As for the space-group type: F-43m (216). The value obtained for the formation enthalpy at 0 K is -343 meV/atom. Its total DFT energy (no corrections) is -8.013 eV per atom. The calculation puts the density of states at the Fermi level at 2.5 states/eV/cell. Its spin magnetization is 7.124 μB per formula unit.

Material: SrScCu
Method: DFT, PBE
State: optimized geometry

Cell: 4.0481 4.0481 6.3716 Å, 90.00 90.00 120.00°
Last column: nearest neighbours and their distance in Å.
Positions (direct):
Cu 0.0000 0.0000 0.0486  3 Sc 2.60
Sc 0.6667 0.3333 0.2291  3 Cu 2.60
Sr 0.3333 0.6667 0.7223  3 Cu 3.13

Computed properties:
The value obtained for the energy relative to the lowest polymorph listed for this composition is 5.215 kcal/mol of atoms. Its crystal system is trigonal. As for the space-group type: P3m1 (156). The value obtained for the formation enthalpy at 0 K is 192 meV/atom. Its total DFT energy (no corrections) is -3.845 eV per atom. The calculation puts the density of states at the Fermi level at 2.4 states/eV/cell. Its spin magnetization is 0.000 μB per formula unit.

Material: Cd2IrAu
Method: DFT, PBE
State: optimized geometry

Cell: 4.6800 4.6800 4.6800 Å, 60.00 60.00 60.00°
Last column: nearest neighbours and their distance in Å.
Positions (direct):
Ir 0.0000 0.0000 0.0000  8 Cd 2.87
Au 0.5000 0.5000 0.5000  8 Cd 2.87
Cd 0.2500 0.2500 0.2500  4 Au 2.87, 4 Ir 2.87
Cd 0.7500 0.7500 0.7500  4 Ir 2.87, 4 Au 2.87

Computed properties:
The value obtained for the energy relative to the lowest polymorph listed for this composition is 1.790 kcal/mol of atoms. Its crystal system is cubic. As for the space-group type: Fm-3m (225). The value obtained for the formation enthalpy at 0 K is 108 meV/atom. Its total DFT energy (no corrections) is -3.384 eV per atom. The calculation puts the density of states at the Fermi level at 1.7 states/eV/cell. Its spin magnetization is 0.000 μB per formula unit.

Material: Pm3PrTh2As6
Method: DFT, PBE
State: optimized geometry

Cell: 4.2602 8.5003 9.5105 Å, 102.83 102.94 90.00°
Last column: nearest neighbours and their distance in Å.
Positions (direct):
Pm 0.5000 0.5000 0.0000  6 As 2.99-3.02
Pm 0.8346 0.1662 0.6692  6 As 3.00-3.02
Pm 0.1654 0.8338 0.3308  6 As 3.00-3.02
Pr 0.5000 0.0000 0.0000  6 As 3.03
Th 0.8343 0.6688 0.6686  6 As 2.98-3.02
Th 0.1657 0.3312 0.3314  6 As 2.98-3.02
As 0.3320 0.9148 0.6640  2 Th 2.99, 3 Pm 3.01, 1 Pr 3.03
As 0.6673 0.5823 0.3345  3 Th 3.01-3.02, 3 Pm 3.02
As 0.6680 0.0852 0.3360  2 Th 2.99, 3 Pm 3.01, 1 Pr 3.03
As 0.0008 0.2537 0.0016  1 Th 2.98, 3 Pm 2.99-3.00, 2 Pr 3.03
As 0.9992 0.7463 0.9984  1 Th 2.98, 3 Pm 2.99-3.00, 2 Pr 3.03
As 0.3327 0.4177 0.6655  3 Th 3.01-3.02, 3 Pm 3.02

Computed properties:
Its crystal system is monoclinic. As for the space-group type: C2/m (12). The value obtained for the formation enthalpy at 0 K is -1501 meV/atom. Its total DFT energy (no corrections) is -6.649 eV per atom. The calculation puts the density of states at the Fermi level at 4.1 states/eV/cell. Its spin magnetization is 0.000 μB per formula unit.